VASP calculation (GGA-PBE) on an optimized crystal structure of La2Ni4GeP3.

Computed properties:
total DFT energy (no corrections)	-6.31	eV/atom
symmetry	P4mm
calculated formation energy	-927.1	meV per atom

Structure (CIF):
```
data_La2Ni4GeP3
_cell_length_a 4.053
_cell_length_b 4.053
_cell_length_c 9.757
_cell_angle_alpha 90.00
_cell_angle_beta 90.00
_cell_angle_gamma 90.00
_space_group_name_H-M_alt 'P 1'
_space_group_IT_number 1
_space_group_name_Hall 'P 1'
loop_
_atom_site_label
_atom_site_type_symbol
_atom_site_fract_x
_atom_site_fract_y
_atom_site_fract_z
La1 La 0.000 0.000 0.992
La2 La 0.500 0.500 0.504
Ni1 Ni 0.000 0.500 0.259
Ni2 Ni 0.500 0.000 0.746
Ni3 Ni 0.500 0.000 0.259
Ni4 Ni 0.000 0.500 0.746
Ge1 Ge 0.500 0.500 0.129
P1 P 0.000 0.000 0.632
P2 P 0.000 0.000 0.366
P3 P 0.500 0.500 0.865
```


VASP calculation (GGA-PBE) on an optimized crystal structure of AcDy2AgS5.

Computed properties:
total DFT energy (no corrections)	-5.76	eV/atom
symmetry	I4/mcm
formation energy without anion corrections	-1.671	eV/atom

Structure (CIF):
```
data_AcDy2AgS5
_cell_length_a 7.593
_cell_length_b 7.593
_cell_length_c 8.784
_cell_angle_alpha 115.61
_cell_angle_beta 115.61
_cell_angle_gamma 90.00
_space_group_name_H-M_alt 'P 1'
_space_group_IT_number 1
_space_group_name_Hall 'P 1'
loop_
_atom_site_label
_atom_site_type_symbol
_atom_site_fract_x
_atom_site_fract_y
_atom_site_fract_z
Ac1 Ac 0.250 0.250 0.500
Ac2 Ac 0.750 0.750 0.500
Dy1 Dy 0.159 0.341 0.000
Dy2 Dy 0.659 0.159 0.000
Dy3 Dy 0.341 0.841 0.000
Dy4 Dy 0.841 0.659 0.000
Ag1 Ag 0.250 0.750 0.500
Ag2 Ag 0.750 0.250 0.500
S1 S 0.965 0.465 0.262
S2 S 0.703 0.203 0.738
S3 S 0.035 0.535 0.738
S4 S 0.203 0.035 0.738
S5 S 0.535 0.703 0.738
S6 S 0.797 0.965 0.262
S7 S 0.465 0.297 0.262
S8 S 0.297 0.797 0.262
S9 S 0.500 0.500 0.000
S10 S 0.000 0.000 0.000
```


VASP calculation (GGA-PBE) on an optimized crystal structure of MoBr3.

Computed properties:
total DFT energy (no corrections)	-4.34	eV/atom
symmetry	Cmmm
formation energy without anion corrections	-0.373	eV/atom

Structure (CIF):
```
data_MoBr3
_cell_length_a 3.820
_cell_length_b 7.333
_cell_length_c 7.334
_cell_angle_alpha 41.95
_cell_angle_beta 90.00
_cell_angle_gamma 90.00
_space_group_name_H-M_alt 'P 1'
_space_group_IT_number 1
_space_group_name_Hall 'P 1'
loop_
_atom_site_label
_atom_site_type_symbol
_atom_site_fract_x
_atom_site_fract_y
_atom_site_fract_z
Mo1 Mo 0.500 0.250 0.250
Br1 Br 0.000 0.119 0.119
Br2 Br 0.500 0.750 0.750
Br3 Br 0.000 0.381 0.381
```